This record from Alexandria via LeMat-Bulk describes a relaxed ReSi2Os2 crystal. The functional is GGA-PBE.

Values from the calculation:
The symmetry is P4/mbm, No. 127. Its formation energy (no corrections) is -0.032 eV/atom.

Unit cell a=7.000 b=7.000 c=2.783 alpha=90.00 beta=90.00 gamma=90.00
Sites, in units of the cell vectors:
Re  0.000  0.000  0.000
Re  0.500  0.500  0.000
Si  0.143  0.357  0.000
Si  0.357  0.857  0.000
Si  0.643  0.143  0.000
Si  0.857  0.643  0.000
Os  0.157  0.657  0.500
Os  0.343  0.157  0.500
Os  0.657  0.843  0.500
Os  0.843  0.343  0.500

This record from Alexandria via LeMat-Bulk describes a relaxed Re2SiOs crystal. The functional is GGA-PBE.

Values from the calculation:
The symmetry is I-42d, No. 122. Its formation energy (no corrections) is 1.168 eV/atom.

Unit cell a=6.764 b=6.764 c=6.764 alpha=131.46 beta=131.46 gamma=71.08
Sites, in units of the cell vectors:
Re  0.122  0.625  0.997
Re  0.375  0.372  0.497
Re  0.628  0.125  0.003
Re  0.875  0.878  0.503
Si  0.000  0.000  0.000
Si  0.750  0.250  0.500
Os  0.250  0.750  0.500
Os  0.500  0.500  0.000

This record from Alexandria via LeMat-Bulk describes a relaxed Re2SiOs crystal. The functional is GGA-PBE.

Values from the calculation:
The symmetry is Pmmm, No. 47. Its formation energy (no corrections) is 0.061 eV/atom.

Unit cell a=2.829 b=3.963 c=5.102 alpha=90.00 beta=90.00 gamma=90.00
Sites, in units of the cell vectors:
Re  0.000  0.000  0.241
Re  0.000  0.000  0.759
Si  0.500  0.500  0.000
Os  0.500  0.500  0.500

This record from Alexandria via LeMat-Bulk describes a relaxed Re2SiOs crystal. The functional is GGA-PBE.

Values from the calculation:
The symmetry is Amm2, No. 38. Its formation energy (no corrections) is -0.049 eV/atom.

Unit cell a=3.999 b=5.278 c=5.278 alpha=30.76 beta=90.00 gamma=90.00
Sites, in units of the cell vectors:
Re  0.000  0.000  0.000
Re  0.500  0.361  0.361
Si  0.500  0.605  0.605
Os  0.000  0.735  0.735

This record from Alexandria via LeMat-Bulk describes a relaxed Re2SiOs crystal. The functional is GGA-PBE.

Values from the calculation:
The symmetry is R3m, No. 160. Its formation energy (no corrections) is 0.222 eV/atom.

Unit cell a=4.993 b=4.993 c=4.993 alpha=48.04 beta=48.04 gamma=48.04
Sites, in units of the cell vectors:
Re  0.000  0.000  0.000
Re  0.192  0.192  0.192
Si  0.597  0.597  0.597
Os  0.782  0.782  0.782

This record from Alexandria via LeMat-Bulk describes a relaxed Re2SiOs crystal. The functional is GGA-PBE.

Values from the calculation:
The symmetry is Cmmm, No. 65. Its formation energy (no corrections) is 0.167 eV/atom.

Unit cell a=4.738 b=4.738 c=2.823 alpha=90.00 beta=90.00 gamma=114.89
Sites, in units of the cell vectors:
Re  0.000  0.500  0.000
Re  0.500  0.000  0.000
Si  0.000  0.000  0.500
Os  0.500  0.500  0.500